[1]
Below is a relaxed structure of NbFeCo5, with properties calculated at the GGA-PBE level.

electronic total energy	-52.69	eV per cell
formation energy from the elements	0.20	eV/atom

a b c (Å): 3.9019 3.9019 5.8402
angles (deg): 90.00 90.00 90.00
Space group P4/mmm (No. 123)
Symmetry-distinct sites (fractional):
1 Nb 0.0000 0.0000 0.0000 [1 per cell]
2 Fe 0.5000 0.5000 0.5000 [1 per cell]
3 Co 0.0000 0.5000 0.2795 [4 per cell]
4 Co 0.5000 0.5000 0.0000 [1 per cell]

***

[2]
Below is a relaxed structure of Nb3FeCo, with properties calculated at the GGA-PBE level.

electronic total energy	-40.39	eV per cell
formation energy from the elements	1.08	eV/atom

a b c (Å): 4.5283 4.5283 4.5283
angles (deg): 90.00 90.00 90.00
Space group Pm-3m (No. 221)
Symmetry-distinct sites (fractional):
1 Nb 0.0000 0.0000 0.5000 [3 per cell]
2 Fe 0.5000 0.5000 0.5000 [1 per cell]
3 Co 0.0000 0.0000 0.0000 [1 per cell]

***

[3]
Below is a relaxed structure of NbFeCo4, with properties calculated at the GGA-PBE level.

electronic total energy	-46.79	eV per cell
formation energy from the elements	0.03	eV/atom

a b c (Å): 4.0389 4.0389 5.1182
angles (deg): 90.00 90.00 120.00
Space group P6/mmm (No. 191)
Symmetry-distinct sites (fractional):
1 Nb 0.0000 0.0000 0.0000 [1 per cell]
2 Fe 0.0000 0.0000 0.5000 [1 per cell]
3 Co 0.3333 0.6667 0.2679 [4 per cell]

***

[4]
Below is a relaxed structure of NbFeCo6, with properties calculated at the GGA-PBE level.

electronic total energy	-491.37	eV per cell
formation energy from the elements	-0.03	eV/atom

a b c (Å): 7.1908 10.2162 10.2102
angles (deg): 90.00 90.00 90.00
Space group Cmmm (No. 65)
Symmetry-distinct sites (fractional):
1 Nb 0.0000 0.0000 0.2500 [4 per cell]
2 Nb 0.0000 0.2442 0.0000 [4 per cell]
3 Fe 0.0000 0.2435 0.5000 [4 per cell]
4 Fe 0.0000 0.5000 0.2521 [4 per cell]
5 Co 0.0000 0.0000 0.0000 [2 per cell]
6 Co 0.0000 0.0000 0.5000 [2 per cell]
7 Co 0.0000 0.2542 0.2570 [8 per cell]
8 Co 0.0000 0.5000 0.0000 [2 per cell]
9 Co 0.0000 0.5000 0.5000 [2 per cell]
10 Co 0.2425 0.3723 0.3790 [16 per cell]
11 Co 0.2423 0.3772 0.1290 [16 per cell]

***

[5]
Below is a relaxed structure of NbFe2Co, with properties calculated at the GGA-PBE level.

electronic total energy	-34.26	eV per cell
formation energy from the elements	-0.04	eV/atom

a b c (Å): 3.6618 3.6618 3.7695
angles (deg): 90.00 90.00 90.00
Space group P4/mmm (No. 123)
Symmetry-distinct sites (fractional):
1 Nb 0.0000 0.0000 0.0000 [1 per cell]
2 Fe 0.0000 0.5000 0.5000 [2 per cell]
3 Co 0.5000 0.5000 0.0000 [1 per cell]

***

[6]
Below is a relaxed structure of NbFeCo4, with properties calculated at the GGA-PBE level.

electronic total energy	-189.89	eV per cell
formation energy from the elements	-0.09	eV/atom

a b c (Å): 6.6348 6.6348 6.6348
angles (deg): 90.00 90.00 90.00
Space group F-43m (No. 216)
Symmetry-distinct sites (fractional):
1 Nb 0.0000 0.0000 0.0000 [4 per cell]
2 Fe 0.2500 0.2500 0.2500 [4 per cell]
3 Co 0.1243 0.1243 0.6243 [16 per cell]

***

[7]
Below is a relaxed structure of NbFeCo, with properties calculated at the GGA-PBE level.

electronic total energy	-73.75	eV per cell
formation energy from the elements	0.35	eV/atom

a b c (Å): 3.2317 3.2317 14.4417
angles (deg): 90.00 90.00 120.00
Space group R3m (No. 160, hexagonal axes)
Symmetry-distinct sites (fractional):
1 Nb 0.0000 0.0000 0.0000 [3 per cell]
2 Fe 0.0000 0.0000 0.7885 [3 per cell]
3 Co 0.0000 0.0000 0.2131 [3 per cell]

***

- Which value of electronic total energy does entry 3 give?
  -46.79 eV per cell